Entry 1:
Entry from the Alexandria database: an optimized crystal structure of Ho4Cd5Ni2 (PBE-GGA).

abc: 7.622 3.538 9.451
angles: 90.00 93.78 90.00
Element x y z (fractional)
Ho (0.166, 0.000, 0.342)
Ho (0.217, 0.000, 0.946)
Ho (0.783, 0.000, 0.054)
Ho (0.834, 0.000, 0.658)
Cd (0.182, 0.500, 0.649)
Cd (0.450, 0.500, 0.175)
Cd (0.500, 0.500, 0.500)
Cd (0.550, 0.500, 0.825)
Cd (0.818, 0.500, 0.351)
Ni (0.065, 0.500, 0.132)
Ni (0.935, 0.500, 0.868)

Summary:
Symmetry: No. 10
E in eV per cell: -38.44
M_tot in μB/f.u.: 0.00

=====

Entry 2:
Entry from the Alexandria database: an optimized crystal structure of LaSm3Er4 (PBE-GGA).

abc: 11.469 7.308 6.290
angles: 90.00 90.00 90.00
Element x y z (fractional)
La (0.000, 0.125, 0.000)
La (0.500, 0.875, 0.500)
Sm (0.000, 0.871, 0.504)
Sm (0.249, 0.129, 0.338)
Sm (0.251, 0.871, 0.838)
Sm (0.500, 0.129, 0.004)
Sm (0.749, 0.871, 0.838)
Sm (0.751, 0.129, 0.338)
Er (0.000, 0.381, 0.503)
Er (0.000, 0.622, 0.005)
Er (0.249, 0.621, 0.337)
Er (0.251, 0.379, 0.837)
Er (0.500, 0.378, 0.505)
Er (0.500, 0.619, 0.003)
Er (0.749, 0.379, 0.837)
Er (0.751, 0.621, 0.337)

Summary:
Symmetry: No. 31
E in eV per cell: -74.24
M_tot in μB/f.u.: 0.00
Distance to the lowest polymorph of the same formula in meV per atom: 0

=====

Entry 3:
Entry from the Alexandria database: an optimized crystal structure of Nd5InCo2 (PBE-GGA).

abc: 8.911 8.911 8.911
angles: 127.61 127.61 77.25
Element x y z (fractional)
Nd (0.000, 0.000, 0.000)
Nd (0.031, 0.531, 0.824)
Nd (0.207, 0.031, 0.500)
Nd (0.293, 0.793, 0.824)
Nd (0.469, 0.293, 0.500)
Nd (0.500, 0.500, 0.000)
Nd (0.531, 0.707, 0.500)
Nd (0.707, 0.207, 0.176)
Nd (0.793, 0.969, 0.500)
Nd (0.969, 0.469, 0.176)
In (0.250, 0.250, 0.000)
In (0.750, 0.750, 0.000)
Co (0.131, 0.369, 0.500)
Co (0.369, 0.869, 0.238)
Co (0.631, 0.131, 0.762)
Co (0.869, 0.631, 0.500)

Summary:
Symmetry: No. 140
E in eV per cell: -84.15
M_tot in μB/f.u.: 0.00

=====

Entry 4:
Entry from the Alexandria database: an optimized crystal structure of Sm2HoCo2 (PBE-GGA).

abc: 7.256 7.256 8.527
angles: 90.00 90.00 90.00
Element x y z (fractional)
Sm (0.175, 0.325, 0.000)
Sm (0.175, 0.325, 0.500)
Sm (0.325, 0.825, 0.000)
Sm (0.325, 0.825, 0.500)
Sm (0.675, 0.175, 0.000)
Sm (0.675, 0.175, 0.500)
Sm (0.825, 0.675, 0.000)
Sm (0.825, 0.675, 0.500)
Ho (0.000, 0.000, 0.250)
Ho (0.000, 0.000, 0.750)
Ho (0.500, 0.500, 0.250)
Ho (0.500, 0.500, 0.750)
Co (0.110, 0.610, 0.250)
Co (0.110, 0.610, 0.750)
Co (0.390, 0.110, 0.250)
Co (0.390, 0.110, 0.750)
Co (0.610, 0.890, 0.250)
Co (0.610, 0.890, 0.750)
Co (0.890, 0.390, 0.250)
Co (0.890, 0.390, 0.750)

Summary:
Symmetry: No. 128
E in eV per cell: -114.62
M_tot in μB/f.u.: 0.00
Distance to the lowest polymorph of the same formula in meV per atom: 9

=====

Entry 5:
Entry from the Alexandria database: an optimized crystal structure of TlH2Cl (PBE-GGA).

abc: 4.561 4.561 4.326
angles: 101.25 101.25 74.33
Element x y z (fractional)
Tl (0.000, 0.000, 0.000)
H (0.322, 0.322, 0.694)
H (0.408, 0.408, 0.626)
Cl (0.691, 0.691, 0.328)

Summary:
Symmetry: No. 8
E in eV per cell: -12.78
M_tot in μB/f.u.: 0.00
Distance to the lowest polymorph of the same formula in meV per atom: 0

=====

Entry 6:
Entry from the Alexandria database: an optimized crystal structure of CaB2H6 (PBE-GGA).

abc: 4.275 4.275 7.449
angles: 106.36 106.36 39.62
Element x y z (fractional)
Ca (0.000, 0.000, 0.000)
B (0.262, 0.262, 0.746)
B (0.738, 0.738, 0.254)
H (0.111, 0.111, 0.652)
H (0.187, 0.187, 0.287)
H (0.268, 0.268, 0.917)
H (0.732, 0.732, 0.083)
H (0.813, 0.813, 0.713)
H (0.889, 0.889, 0.348)

Summary:
Symmetry: No. 12
E in eV per cell: -34.41
M_tot in μB/f.u.: 0.00
Distance to the lowest polymorph of the same formula in meV per atom: 0

=====

Entry 7:
Entry from the Alexandria database: an optimized crystal structure of TeOs2Se (PBE-GGA).

abc: 7.052 7.052 7.052
angles: 132.97 132.97 68.71
Element x y z (fractional)
Te (0.000, 0.000, 0.000)
Te (0.750, 0.250, 0.500)
Os (0.156, 0.625, 0.031)
Os (0.375, 0.406, 0.531)
Os (0.594, 0.125, 0.969)
Os (0.875, 0.844, 0.469)
Se (0.250, 0.750, 0.500)
Se (0.500, 0.500, 0.000)

Summary:
Symmetry: No. 122
E in eV per cell: -52.35
M_tot in μB/f.u.: 0.00
Distance to the lowest polymorph of the same formula in meV per atom: 357

=====

Entry 8:
Entry from the Alexandria database: an optimized crystal structure of MnFeRuC2 (PBE-GGA).

abc: 3.492 3.492 5.237
angles: 90.00 90.00 90.00
Element x y z (fractional)
Mn (0.000, 0.000, 0.000)
Fe (0.500, 0.500, 0.500)
Ru (0.500, 0.500, 0.000)
C (0.000, 0.500, 0.500)
C (0.500, 0.000, 0.500)

Summary:
Symmetry: No. 123
E in eV per cell: -36.41
M_tot in μB/f.u.: 0.18

=====

Entry 9:
Entry from the Alexandria database: an optimized crystal structure of SiRh2Br (PBE-GGA).

abc: 2.930 4.108 5.454
angles: 90.00 90.00 90.00
Element x y z (fractional)
Si (0.000, 0.000, 0.000)
Rh (0.000, 0.500, 0.500)
Rh (0.500, 0.500, 0.000)
Br (0.500, 0.000, 0.500)

Summary:
Symmetry: No. 47
E in eV per cell: -20.69
M_tot in μB/f.u.: 0.00
Distance to the lowest polymorph of the same formula in meV per atom: 603

=====

Entry 10:
Entry from the Alexandria database: an optimized crystal structure of MgCuTeI2 (PBE-GGA).

abc: 5.291 5.291 5.356
angles: 90.00 90.00 90.00
Element x y z (fractional)
Mg (0.000, 0.000, 0.000)
Cu (0.500, 0.500, 0.500)
Te (0.500, 0.500, 0.000)
I (0.000, 0.500, 0.500)
I (0.500, 0.000, 0.500)

Summary:
Symmetry: No. 123
E in eV per cell: -11.38
M_tot in μB/f.u.: 0.00
Distance to the lowest polymorph of the same formula in meV per atom: 0

=====

Entry 11:
Entry from the Alexandria database: an optimized crystal structure of Be2CdAs (PBE-GGA).

abc: 3.570 3.570 6.198
angles: 104.55 104.55 59.83
Element x y z (fractional)
Be (0.218, 0.218, 0.172)
Be (0.782, 0.782, 0.828)
Cd (0.000, 0.000, 0.500)
As (0.500, 0.500, 0.000)

Summary:
Symmetry: No. 12
E in eV per cell: -11.79
M_tot in μB/f.u.: 0.00
Distance to the lowest polymorph of the same formula in meV per atom: 108

=====

Entry 12:
Entry from the Alexandria database: an optimized crystal structure of Tb3Th2Mg (PBE-GGA).

abc: 3.584 3.584 14.346
angles: 90.00 90.00 90.00
Element x y z (fractional)
Tb (0.000, 0.000, 0.000)
Tb (0.000, 0.000, 0.345)
Tb (0.000, 0.000, 0.655)
Th (0.500, 0.500, 0.176)
Th (0.500, 0.500, 0.824)
Mg (0.500, 0.500, 0.500)

Summary:
Symmetry: No. 123
E in eV per cell: -30.41
M_tot in μB/f.u.: 0.00